(1)
This record from Alexandria describes a relaxed Pm5InNi4 crystal. The functional is PBE.

Unit cell a=3.505 b=3.505 c=18.226 alpha=90.00 beta=90.00 gamma=90.00
Space group P4/mmm (No. 123)
Symmetry-distinct sites (fractional):
Pm  0.000  0.000  0.000 (multiplicity 1)
Pm  0.000  0.000  0.189 (multiplicity 2)
Pm  0.000  0.000  0.376 (multiplicity 2)
In  0.500  0.500  0.500 (multiplicity 1)
Ni  0.500  0.500  0.094 (multiplicity 2)
Ni  0.500  0.500  0.283 (multiplicity 2)

Output
Crystal system: tetragonal
M_tot in μB per formula unit: 0.0
DFT total energy in Ry/atom: -0.386
Density of states at the Fermi level in states/eV/atom: 0.969
Theoretical density in Mg/m³: 7.97

=====

(2)
This record from Alexandria describes a relaxed Pm6NdIn5 crystal. The functional is PBE.

Unit cell a=5.081 b=9.046 c=15.338 alpha=90.00 beta=90.00 gamma=90.00
Space group Immm (No. 71)
Symmetry-distinct sites (fractional):
Pm  0.000  0.229  0.000 (multiplicity 4)
Pm  0.000  0.263  0.329 (multiplicity 8)
Nd  0.000  0.000  0.500 (multiplicity 2)
In  0.000  0.000  0.175 (multiplicity 4)
In  0.000  0.500  0.154 (multiplicity 4)
In  0.000  0.500  0.500 (multiplicity 2)

Output
Crystal system: orthorhombic
M_tot in μB per formula unit: 0.0
DFT total energy in Ry/atom: -0.317
Density of states at the Fermi level in states/eV/atom: 1.010
Theoretical density in Mg/m³: 7.48

=====

(3)
This record from Alexandria describes a relaxed Os2PdI crystal. The functional is PBE.

Unit cell a=3.925 b=3.925 c=20.041 alpha=90.00 beta=90.00 gamma=90.00
Space group I-42d (No. 122)
Symmetry-distinct sites (fractional):
Os  0.172  0.250  0.125 (multiplicity 8)
Pd  0.000  0.000  0.000 (multiplicity 4)
I  0.000  0.000  0.500 (multiplicity 4)

Output
Crystal system: tetragonal
M_tot in μB per formula unit: 0.0
Density of states at the Fermi level in states/eV/atom: 1.207
Theoretical density in Mg/m³: 13.20
Uncorrected formation energy in meV per atom: 1136
Distance to the lowest polymorph of the same formula in meV per atom: 0

=====

(4)
This record from Alexandria describes a relaxed Ca2AgS crystal. The functional is PBE.

Unit cell a=7.634 b=7.634 c=8.025 alpha=90.00 beta=90.00 gamma=90.00
Space group I-42d (No. 122)
Symmetry-distinct sites (fractional):
Ca  0.213  0.250  0.125 (multiplicity 8)
Ag  0.000  0.000  0.500 (multiplicity 4)
S  0.000  0.000  0.000 (multiplicity 4)

Output
Crystal system: tetragonal
M_tot in μB per formula unit: 0.0
Density of states at the Fermi level in states/eV/atom: 0.587
Theoretical density in Mg/m³: 3.13
Uncorrected formation energy in meV per atom: -859

=====

- What is the theoretical density in the first record?
  7.97 Mg/m³

=====

- density of states at the Fermi level of number 4 (Ca2AgS)?
  0.587 states/eV/atom

=====

Copy entry 4 word for word.
This record from Alexandria describes a relaxed Ca2AgS crystal. The functional is PBE.

Unit cell a=7.634 b=7.634 c=8.025 alpha=90.00 beta=90.00 gamma=90.00
Space group I-42d (No. 122)
Symmetry-distinct sites (fractional):
Ca  0.213  0.250  0.125 (multiplicity 8)
Ag  0.000  0.000  0.500 (multiplicity 4)
S  0.000  0.000  0.000 (multiplicity 4)

Output
Crystal system: tetragonal
M_tot in μB per formula unit: 0.0
Density of states at the Fermi level in states/eV/atom: 0.587
Theoretical density in Mg/m³: 3.13
Uncorrected formation energy in meV per atom: -859